Crystalline Ca2Cd2SnPd5 at its relaxed geometry, computed with GGA-PBE.

Geometry as CIF:
```
data_Ca2Cd2SnPd5
_cell_length_a 10.2341
_cell_length_b 10.2341
_cell_length_c 3.8450
_cell_angle_alpha 90.00
_cell_angle_beta 90.00
_cell_angle_gamma 90.00
_symmetry_space_group_name_H-M 'P 4/m b m'
_symmetry_Int_Tables_number 127
_symmetry_space_group_name_Hall '-P 4 2ab'
loop_
_atom_site_label
_atom_site_fract_x
_atom_site_fract_y
_atom_site_fract_z
Ca1 0.1704 0.3296 0.0000
Cd1 0.1287 0.6287 0.0000
Sn1 0.0000 0.0000 0.0000
Pd1 0.0000 0.5000 0.5000
Pd2 0.0616 0.8072 0.5000
```

- Calculated volume: 20.14 Å³/atom
- Calculated density: 7.88 Mg/m³
- Formation energy: -0.5393 eV/atom
- VASP energy: -4.1194 eV per atom